A geometry-optimized KY2OsRh structure, computed with PBE-GGA.

Geometry as POSCAR:
```
KY2OsRh
1.0
5.415 0.000 0.000
0.000 4.855 0.000
0.000 0.000 5.415
Os Rh Y K
1 1 2 1
direct
0.000 0.500 0.000
0.000 0.000 0.000
0.000 0.000 0.500
0.500 0.000 0.000
0.500 0.500 0.500
```

Results
M_tot	0.00	μB per formula unit
energy of formation	0.425	eV per atom
density of states at the Fermi level	0.804	states/eV per atom
ρ	5.95	g cm⁻³
crystal system	tetragonal



A geometry-optimized CaTa2Cr structure, computed with PBE-GGA.

Geometry as POSCAR:
```
CaTa2Cr
1.0
5.792 0.006 -0.001
2.986 4.963 0.001
-3.920 -3.314 2.684
Cr Ta Ca
1 2 1
direct
0.229 0.729 0.500
0.055 0.055 0.000
0.747 0.247 0.500
0.469 0.469 0.000
```

Results
M_tot	0.00	μB per formula unit
energy of formation	0.663	eV per atom
density of states at the Fermi level	0.792	states/eV per atom
ρ	9.78	g cm⁻³
crystal system	orthorhombic
E above lowest polymorph	0.76	eV/f.u.



A geometry-optimized Tb4BiAs3 structure, computed with PBE-GGA.

Geometry as POSCAR:
```
Tb4BiAs3
1.0
4.188 0.000 0.000
-2.094 3.627 0.000
0.000 0.000 28.172
As Bi Tb
6 2 8
direct
0.333 0.667 0.619
0.000 0.000 0.500
0.333 0.667 0.881
0.667 0.333 0.381
0.000 0.000 0.000
0.667 0.333 0.119
0.333 0.667 0.250
0.667 0.333 0.750
0.333 0.667 0.441
0.333 0.667 0.059
0.000 0.000 0.824
0.000 0.000 0.324
0.000 0.000 0.176
0.667 0.333 0.941
0.667 0.333 0.559
0.000 0.000 0.676
```

Results
M_tot	0.00	μB per formula unit
energy of formation	-1.364	eV per atom
density of states at the Fermi level	0.181	states/eV per atom
ρ	8.30	g cm⁻³
crystal system	hexagonal



A geometry-optimized PrPu2Bi structure, computed with PBE-GGA.

Geometry as POSCAR:
```
PrPu2Bi
1.0
-0.921 2.733 4.328
-3.442 -3.014 1.171
3.123 -2.657 2.342
Bi Pu Pr
1 2 1
direct
0.500 0.000 0.000
0.000 0.500 0.000
0.000 0.000 0.500
0.500 0.500 0.500
```

Results
M_tot	12.37	μB per formula unit
energy of formation	-0.249	eV per atom
density of states at the Fermi level	3.063	states/eV per atom
ρ	12.00	g cm⁻³
crystal system	tetragonal



A geometry-optimized CeErPS structure, computed with PBE-GGA.

Geometry as POSCAR:
```
CeErPS
1.0
3.992 0.000 0.000
1.996 3.457 0.000
1.996 1.152 6.546
Er P S Ce
1 1 1 1
direct
0.749 0.749 0.754
0.004 0.004 0.989
0.496 0.496 0.512
0.252 0.252 0.245
```

Results
M_tot	0.78	μB per formula unit
E_tot	-27.3	eV for the cell shown
density of states at the Fermi level	1.400	states/eV per atom
ρ	6.81	g cm⁻³
crystal system	trigonal



A geometry-optimized Nd12Dy6Mg structure, computed with PBE-GGA.

Geometry as POSCAR:
```
Nd12Dy6Mg
1.0
8.593 0.709 0.849
-0.602 8.601 0.849
-0.602 -0.702 8.614
Nd Dy Mg
12 6 1
direct
0.364 0.017 0.183
0.462 0.568 0.216
0.432 0.784 0.538
0.784 0.538 0.432
0.817 0.636 0.983
0.538 0.432 0.784
0.983 0.817 0.636
0.216 0.462 0.568
0.017 0.183 0.364
0.568 0.216 0.462
0.183 0.364 0.017
0.636 0.983 0.817
0.901 0.289 0.740
0.099 0.711 0.260
0.740 0.901 0.289
0.260 0.099 0.711
0.289 0.740 0.901
0.711 0.260 0.099
0.000 0.000 0.000
```

Results
M_tot	0.00	μB per formula unit
energy of formation	0.120	eV per atom
density of states at the Fermi level	1.697	states/eV per atom
ρ	6.98	g cm⁻³
crystal system	trigonal
E above lowest polymorph	0.00	eV/f.u.



A geometry-optimized YFe2Ru structure, computed with PBE-GGA.

Geometry as POSCAR:
```
YFe2Ru
1.0
-3.085 -2.044 -3.556
-0.080 -3.038 -4.136
-1.179 -4.260 1.189
Ru Fe Y
1 2 1
direct
0.750 0.750 0.750
0.023 0.023 0.931
0.477 0.477 0.569
0.250 0.250 0.250
```

Results
M_tot	5.49	μB per formula unit
energy of formation	0.189	eV per atom
density of states at the Fermi level	0.954	states/eV per atom
ρ	7.49	g cm⁻³
crystal system	monoclinic



A geometry-optimized SrTl2Te structure, computed with PBE-GGA.

Geometry as POSCAR:
```
SrTl2Te
1.0
-3.874 2.598 -0.490
-0.903 -6.242 -3.586
-2.337 -2.944 2.721
Tl Te Sr
2 1 1
direct
0.000 0.000 0.000
0.500 0.000 0.500
0.500 0.500 0.000
0.000 0.500 0.500
```

Results
M_tot	0.00	μB per formula unit
density of states at the Fermi level	0.373	states/eV per atom
ρ	7.37	g cm⁻³
crystal system	monoclinic
E above lowest polymorph	0.00	eV/f.u.



A geometry-optimized SrZrTe2 structure, computed with PBE-GGA.

Geometry as POSCAR:
```
SrZrTe2
1.0
3.748 0.000 0.000
0.000 3.748 0.008
0.000 3.730 7.801
Te Sr Zr
2 1 1
direct
0.000 0.967 0.033
0.000 0.533 0.467
0.500 0.750 0.750
0.500 0.250 0.250
```

Results
M_tot	0.00	μB per formula unit
density of states at the Fermi level	0.390	states/eV per atom
ρ	6.58	g cm⁻³
crystal system	tetragonal
E above lowest polymorph	0.34	eV/f.u.



A geometry-optimized Ho4Tl5Sn structure, computed with PBE-GGA.

Geometry as POSCAR:
```
Ho4Tl5Sn
1.0
-3.656 -3.218 5.998
5.031 -8.540 -1.516
5.632 2.473 4.760
Ho Tl Sn
8 10 2
direct
0.796 0.000 0.742
0.524 0.313 0.000
0.476 0.187 0.500
0.476 0.813 0.500
0.524 0.687 0.000
0.796 0.000 0.258
0.204 0.500 0.758
0.204 0.500 0.242
0.892 0.500 0.000
0.187 0.186 0.805
0.187 0.814 0.195
0.813 0.686 0.305
0.187 0.814 0.805
0.813 0.314 0.305
0.187 0.186 0.195
0.813 0.686 0.695
0.108 0.000 0.500
0.813 0.314 0.695
0.510 0.500 0.500
0.490 0.000 0.000
```

Results
M_tot	0.00	μB per formula unit
energy of formation	-0.079	eV per atom
density of states at the Fermi level	0.747	states/eV per atom
ρ	9.92	g cm⁻³
crystal system	orthorhombic



A geometry-optimized NpGaC structure, computed with PBE-GGA.

Geometry as POSCAR:
```
NpGaC
1.0
3.370 0.000 0.000
-1.685 2.919 0.000
0.000 0.000 5.096
Np Ga C
1 1 1
direct
0.667 0.333 0.415
0.000 0.000 0.900
0.333 0.667 0.685
```

Results
M_tot	4.00	μB per formula unit
energy of formation	0.280	eV per atom
density of states at the Fermi level	2.071	states/eV per atom
ρ	10.56	g cm⁻³
crystal system	trigonal
E above lowest polymorph	0.54	eV/f.u.



A geometry-optimized SmPuAu4 structure, computed with PBE-GGA.

Geometry as POSCAR:
```
SmPuAu4
1.0
3.987 0.000 0.000
0.000 9.454 0.020
0.000 -0.009 3.998
Au Pu Sm
4 1 1
direct
0.500 0.746 0.000
0.500 0.254 0.000
0.000 0.253 0.500
0.000 0.747 0.500
0.000 0.000 0.000
0.500 0.500 0.500
```

Results
M_tot	6.36	μB per formula unit
energy of formation	-0.332	eV per atom
density of states at the Fermi level	2.591	states/eV per atom
ρ	13.03	g cm⁻³
crystal system	orthorhombic
E above lowest polymorph	1.62	eV/f.u.



Which of these has the highest density of states at the Fermi level?
PrPu2Bi